# 1
Material: GaNi2I
Method: DFT, PBE
State: optimized geometry

Computed properties:
The calculation puts the excess energy over the best structure of this formula in the dataset at 143 meV/atom. For the calculated volume, the calculation gives 64.8 Å³ per cell. For the density of states at the Fermi level, the calculation gives 1.3 states/eV per cell. Its space group is Fm-3m, No. 225.

Cell lengths 4.508, 4.508, 4.508 Å; angles 60.00, 60.00, 60.00 degrees
Fractional positions:
I  0.500  0.500  0.500
Ni  0.250  0.250  0.250
Ni  0.750  0.750  0.750
Ga  0.000  0.000  0.000



# 2
Material: AcYTh2
Method: DFT, PBE
State: optimized geometry

Computed properties:
As for the energy relative to the elements: 113.6 meV per atom. The calculation puts the excess energy over the best structure of this formula in the dataset at 0 meV/atom. For the calculated volume, the calculation gives 139.4 Å³ per cell. For the density of states at the Fermi level, the calculation gives 5.6 states/eV per cell. Its space group is R3m, No. 160.

Cell lengths 3.661, 3.661, 12.196 Å; angles 81.37, 81.37, 60.00 degrees
Fractional positions:
Ac  0.499  0.499  0.503
Y  0.668  0.668  0.997
Th  0.080  0.080  0.759
Th  0.253  0.253  0.241



# 3
Material: ErScAs
Method: DFT, PBE
State: optimized geometry

Computed properties:
As for the energy relative to the elements: -792.2 meV per atom. For the calculated volume, the calculation gives 443.5 Å³ per cell. For the density of states at the Fermi level, the calculation gives 15.9 states/eV per cell. Its space group is R-3, No. 148.

Cell lengths 7.734, 7.734, 7.734 Å; angles 99.00, 99.00, 99.00 degrees
Fractional positions:
As  0.322  0.634  0.126
As  0.634  0.126  0.322
As  0.126  0.322  0.634
As  0.874  0.678  0.366
As  0.366  0.874  0.678
As  0.678  0.366  0.874
Sc  0.560  0.414  0.193
Sc  0.586  0.807  0.440
Sc  0.807  0.440  0.586
Sc  0.193  0.560  0.414
Sc  0.414  0.193  0.560
Sc  0.440  0.586  0.807
Er  0.071  0.313  0.982
Er  0.687  0.018  0.929
Er  0.018  0.929  0.687
Er  0.982  0.071  0.313
Er  0.313  0.982  0.071
Er  0.929  0.687  0.018